No. 1
# PBE Ho5TmRh6, relaxed
# DFT formation energy: -0.92 eV/atom
data_Ho5TmRh6
_chemical_formula_sum 'Ho10 Tm2 Rh12'
_space_group_name_H-M_alt 'C m m m'
_space_group_IT_number 65
_space_group_name_Hall '-C 2 2'
_cell_length_a 4.801
_cell_length_b 14.423
_cell_length_c 6.841
_cell_angle_alpha 90.00
_cell_angle_beta 90.00
_cell_angle_gamma 90.00
loop_
_atom_site_label
_atom_site_fract_x
_atom_site_fract_y
_atom_site_fract_z
Ho1 0.000 0.000 0.000
Ho2 0.000 0.333 0.000
Ho3 0.000 0.334 0.500
Tm1 0.000 0.000 0.500
Rh1 0.000 0.166 0.251
Rh2 0.000 0.500 0.252



No. 2
# PBE Tb2MgGePt6, relaxed
# DFT formation energy: -0.79 eV/atom
data_Tb2MgGePt6
_chemical_formula_sum 'Tb4 Mg2 Ge2 Pt12'
_space_group_name_H-M_alt 'C 1 2/m 1'
_space_group_IT_number 12
_cell_length_a 9.730
_cell_length_b 5.618
_cell_length_c 8.796
_cell_angle_alpha 90.00
_cell_angle_beta 111.55
_cell_angle_gamma 90.00
loop_
_space_group_symop_operation_xyz
'x,y,z'
'-x,-y,-z'
'-x,y,-z'
'x,-y,z'
'x+1/2,y+1/2,z'
'-x+1/2,-y+1/2,-z'
'-x+1/2,y+1/2,-z'
'x+1/2,-y+1/2,z'
loop_
_atom_site_label
_atom_site_fract_x
_atom_site_fract_y
_atom_site_fract_z
Tb1 0.202 0.000 0.106
Mg1 0.000 0.000 0.500
Ge1 0.000 0.500 0.000
Pt1 0.011 0.243 0.776
Pt2 0.245 0.500 0.224



No. 3
# PBE TbPm2S3, relaxed
# Offset from the most stable computed form: 0 meV per atom
# Formation energy (no corrections): -2023.0 meV/atom
data_TbPm2S3
_chemical_formula_sum 'Tb2 Pm4 S6'
_space_group_name_H-M_alt 'I m m m'
_space_group_IT_number 71
_space_group_name_Hall '-I 2 2'
_cell_length_a 4.002
_cell_length_b 5.652
_cell_length_c 11.990
_cell_angle_alpha 90.00
_cell_angle_beta 90.00
_cell_angle_gamma 90.00
loop_
_atom_site_label
_atom_site_fract_x
_atom_site_fract_y
_atom_site_fract_z
Tb1 0.000 0.000 0.000
Pm1 0.000 0.000 0.330
S1 0.000 0.500 0.000
S2 0.000 0.500 0.339



No. 4
# PBE La2NdHgC, relaxed
# DFT formation energy: -0.25 eV/atom
data_La2NdHgC
_chemical_formula_sum 'La8 Nd4 Hg4 C4'
_space_group_name_H-M_alt 'I 4 c m'
_space_group_IT_number 108
_space_group_name_Hall 'I 4 -2c'
_cell_length_a 7.247
_cell_length_b 7.247
_cell_length_c 10.518
_cell_angle_alpha 90.00
_cell_angle_beta 90.00
_cell_angle_gamma 90.00
loop_
_atom_site_label
_atom_site_fract_x
_atom_site_fract_y
_atom_site_fract_z
La1 0.200 0.300 0.000
Nd1 0.000 0.000 0.247
Hg1 0.000 0.500 0.250
C1 0.000 0.000 0.014